Model A:
A plane-wave DFT calculation with PBE was carried out for a relaxed Sm7Dy3Tm crystal.

Its density of states at the Fermi level is 30.8 states/eV/cell. For the magnetization, the calculation gives 0.00 μB per atom.

It has space group C2/m (No. 12), with a = 12.731 Å, b = 11.249 Å, c = 5.859 Å, α = 90.00°, β = 117.34° and γ = 90.00°. The inequivalent atoms are Sm at (0.000, 0.000, 0.000), Sm at (0.193, 0.290, 0.693), Sm at (0.210, 0.500, 0.208), Dy at (0.000, 0.295, 0.000), Dy at (0.000, 0.500, 0.500) and Tm at (0.000, 0.000, 0.500).


Model B:
A plane-wave DFT calculation with PBE was carried out for a relaxed Sm7Dy3Tm crystal.

Its density of states at the Fermi level is 15.4 states/eV/cell. For the magnetization, the calculation gives 0.00 μB per atom.

It has space group P2/m (No. 10), with a = 7.045 Å, b = 5.605 Å, c = 9.973 Å, α = 90.00°, β = 110.43° and γ = 90.00°. The inequivalent atoms are Sm at (0.000, 0.000, 0.000), Sm at (0.145, 0.500, 0.292), Sm at (0.322, 0.500, 0.639), Sm at (0.416, 0.000, 0.829), Dy at (0.000, 0.000, 0.500), Dy at (0.280, 0.500, 0.000) and Tm at (0.500, 0.000, 0.500).


Bottom line: model B, by a margin of 11.6 kJ/mol of atoms.


Model A:
A plane-wave DFT calculation with PBE was carried out for a relaxed Sm6Dy3Tm crystal.

Its density of states at the Fermi level is 66.6 states/eV/cell. For the magnetization, the calculation gives 0.00 μB per atom.

It has space group Cmc2_1 (No. 36), with a = 9.748 Å, b = 21.207 Å, c = 6.393 Å, α = 90.00°, β = 90.00° and γ = 90.00°. The inequivalent atoms are Sm at (0.000, 0.016, 0.000), Sm at (0.000, 0.301, 0.972), Sm at (0.175, 0.281, 0.502), Sm at (0.181, 0.439, 0.744), Dy at (0.000, 0.420, 0.266), Dy at (0.168, 0.126, 0.669) and Tm at (0.000, 0.159, 0.196).


Model B:
A plane-wave DFT calculation with PBE was carried out for a relaxed Sm6Dy3Tm crystal.

Its density of states at the Fermi level is 54.1 states/eV/cell. For the magnetization, the calculation gives 0.00 μB per atom.

It has space group Cmc2_1 (No. 36), with a = 10.997 Å, b = 19.204 Å, c = 6.280 Å, α = 90.00°, β = 90.00° and γ = 90.00°. The inequivalent atoms are Sm at (0.000, 0.041, 0.000), Sm at (0.000, 0.278, 0.258), Sm at (0.167, 0.456, 0.361), Sm at (0.235, 0.289, 0.547), Dy at (0.000, 0.387, 0.831), Dy at (0.168, 0.112, 0.439) and Tm at (0.000, 0.199, 0.783).


Bottom line: model A, by a margin of 1.9 kJ/mol of atoms.


Model A:
A plane-wave DFT calculation with PBE was carried out for a relaxed SmDy6Tm2 crystal.

Its density of states at the Fermi level is 11.1 states/eV/cell. For the magnetization, the calculation gives 0.00 μB per atom.

It has space group P-1 (No. 2), with a = 3.538 Å, b = 7.907 Å, c = 10.597 Å, α = 102.75°, β = 90.12° and γ = 102.92°. The inequivalent atoms are Sm at (0.000, 0.000, 0.000), Dy at (0.001, 0.001, 0.666), Dy at (0.333, 0.665, 0.778), Dy at (0.333, 0.666, 0.444) and Tm at (0.332, 0.665, 0.111).


Model B:
A plane-wave DFT calculation with PBE was carried out for a relaxed SmDy6Tm2 crystal.

Its density of states at the Fermi level is 41.3 states/eV/cell. For the magnetization, the calculation gives 0.00 μB per atom.

It has space group R3m (No. 160, hexagonal axes), with a = 7.3112 Å, b = 7.3112 Å, c = 19.0629 Å, α = 90.00°, β = 90.00° and γ = 120.00°. The inequivalent atoms are Sm at (0.0000, 0.0000, 0.0000), Dy at (0.0130, 0.5065, 0.4517), Dy at (0.0449, 0.5225, 0.2529), Tm at (0.0000, 0.0000, 0.2630) and Tm at (0.0000, 0.0000, 0.4387).


Bottom line: model A, by a margin of 33.5 kJ/mol of atoms.


Model A:
A plane-wave DFT calculation with PBE was carried out for a relaxed Sm5DyTm crystal.

Its density of states at the Fermi level is 19.0 states/eV/cell. For the magnetization, the calculation gives 0.00 μB per atom.

It has space group Imm2 (No. 44), with a = 8.026 Å, b = 11.781 Å, c = 6.185 Å, α = 90.00°, β = 90.00° and γ = 90.00°. The inequivalent atoms are Sm at (0.000, 0.000, 0.000), Sm at (0.000, 0.247, 0.732), Sm at (0.179, 0.500, 0.235), Dy at (0.000, 0.500, 0.736) and Tm at (0.000, 0.000, 0.474).


Model B:
A plane-wave DFT calculation with PBE was carried out for a relaxed Sm5DyTm crystal.

Its density of states at the Fermi level is 12.3 states/eV/cell. For the magnetization, the calculation gives 0.00 μB per atom.

It has space group P-1 (No. 2), with a = 6.244 Å, b = 6.613 Å, c = 6.633 Å, α = 117.82°, β = 96.19° and γ = 96.33°. The inequivalent atoms are Sm at (0.000, 0.000, 0.000), Sm at (0.272, 0.085, 0.584), Sm at (0.499, 0.688, 0.807), Dy at (0.000, 0.500, 0.000) and Tm at (0.000, 0.500, 0.500).


Bottom line: model B, by a margin of 68.4 kJ/mol of atoms.


Model A:
A plane-wave DFT calculation with PBE was carried out for a relaxed Sm2Dy8Tm crystal.

Its density of states at the Fermi level is 32.7 states/eV/cell. For the magnetization, the calculation gives 0.00 μB per atom.

It has space group C2/m (No. 12), with a = 16.463 Å, b = 6.644 Å, c = 6.645 Å, α = 90.00°, β = 100.54° and γ = 90.00°. The inequivalent atoms are Sm at (0.198, 0.000, 0.298), Dy at (0.088, 0.262, 0.903), Dy at (0.089, 0.500, 0.407), Dy at (0.244, 0.000, 0.807) and Tm at (0.000, 0.000, 0.500).


Model B:
A plane-wave DFT calculation with PBE was carried out for a relaxed Sm2Dy8Tm crystal.

Its density of states at the Fermi level is 29.4 states/eV/cell. For the magnetization, the calculation gives 0.00 μB per atom.

It has space group C2/m (No. 12), with a = 18.111 Å, b = 5.018 Å, c = 7.947 Å, α = 90.00°, β = 105.24° and γ = 90.00°. The inequivalent atoms are Sm at (0.227, 0.000, 0.137), Dy at (0.045, 0.000, 0.228), Dy at (0.090, 0.500, 0.953), Dy at (0.135, 0.000, 0.679), Dy at (0.181, 0.500, 0.409) and Tm at (0.000, 0.500, 0.500).


Bottom line: model B, by a margin of 14.1 kJ/mol of atoms.


Model A:
A plane-wave DFT calculation with PBE was carried out for a relaxed SmDy2Tm9 crystal.

Its density of states at the Fermi level is 17.6 states/eV/cell. For the magnetization, the calculation gives 0.00 μB per atom.

It has space group P6/mmm (No. 191), with a = 11.0821 Å, b = 11.0821 Å, c = 3.4763 Å, α = 90.00°, β = 90.00° and γ = 120.00°. The inequivalent atoms are Sm at (0.0000, 0.0000, 0.0000), Dy at (0.3333, 0.6667, 0.0000), Tm at (0.0000, 0.5000, 0.0000) and Tm at (0.1778, 0.3555, 0.5000).


Model B:
A plane-wave DFT calculation with PBE was carried out for a relaxed SmDy2Tm9 crystal.

Its density of states at the Fermi level is 16.9 states/eV/cell. For the magnetization, the calculation gives 0.00 μB per atom.

It has space group P4/mmm (No. 123), with a = 4.961 Å, b = 4.961 Å, c = 14.876 Å, α = 90.00°, β = 90.00° and γ = 90.00°. The inequivalent atoms are Sm at (0.000, 0.000, 0.000), Dy at (0.000, 0.000, 0.334), Tm at (0.000, 0.500, 0.168), Tm at (0.000, 0.500, 0.500), Tm at (0.500, 0.500, 0.000) and Tm at (0.500, 0.500, 0.334).


Bottom line: model B, by a margin of 2.2 kJ/mol of atoms.


Model A:
A plane-wave DFT calculation with PBE was carried out for a relaxed Sm2Dy3Tm crystal.

Its density of states at the Fermi level is 41.3 states/eV/cell. For the magnetization, the calculation gives 0.00 μB per atom.

It has space group C2/c (No. 15), with a = 14.818 Å, b = 9.671 Å, c = 5.980 Å, α = 90.00°, β = 113.73° and γ = 90.00°. The inequivalent atoms are Sm at (0.133, 0.217, 0.382), Dy at (0.000, 0.109, 0.750), Dy at (0.231, 0.416, 0.984) and Tm at (0.000, 0.500, 0.000).


Model B:
A plane-wave DFT calculation with PBE was carried out for a relaxed Sm2Dy3Tm crystal.

Its density of states at the Fermi level is 41.0 states/eV/cell. For the magnetization, the calculation gives 0.00 μB per atom.

It has space group C2/m (No. 12), with a = 17.013 Å, b = 5.632 Å, c = 9.691 Å, α = 90.00°, β = 124.65° and γ = 90.00°. The inequivalent atoms are Sm at (0.001, 0.000, 0.336), Sm at (0.249, 0.000, 0.573), Dy at (0.001, 0.500, 0.169), Dy at (0.124, 0.000, 0.119), Dy at (0.249, 0.000, 0.910) and Tm at (0.125, 0.500, 0.631).


Bottom line: model B, by a margin of 9.4 kJ/mol of atoms.


Model A:
A plane-wave DFT calculation with PBE was carried out for a relaxed Sm4Dy6Tm crystal.

Its density of states at the Fermi level is 23.8 states/eV/cell. For the magnetization, the calculation gives 0.00 μB per atom.

It has space group I-42m (No. 121), with a = 7.593 Å, b = 7.593 Å, c = 13.199 Å, α = 90.00°, β = 90.00° and γ = 90.00°. The inequivalent atoms are Sm at (0.173, 0.173, 0.423), Dy at (0.000, 0.500, 0.000), Dy at (0.236, 0.236, 0.185) and Tm at (0.000, 0.000, 0.000).


Model B:
A plane-wave DFT calculation with PBE was carried out for a relaxed Sm4Dy6Tm crystal.

Its density of states at the Fermi level is 28.2 states/eV/cell. For the magnetization, the calculation gives 0.00 μB per atom.

It has space group I-42m (No. 121), with a = 6.599 Å, b = 6.599 Å, c = 17.036 Å, α = 90.00°, β = 90.00° and γ = 90.00°. The inequivalent atoms are Sm at (0.188, 0.188, 0.325), Dy at (0.000, 0.500, 0.000), Dy at (0.178, 0.178, 0.127) and Tm at (0.000, 0.000, 0.500).


Bottom line: model B, by a margin of 13.7 kJ/mol of atoms.


Model A:
A plane-wave DFT calculation with PBE was carried out for a relaxed Sm4DyTm crystal.

Its density of states at the Fermi level is 19.0 states/eV/cell. For the magnetization, the calculation gives 0.00 μB per atom.

It has space group Cmmm (No. 65), with a = 11.617 Å, b = 11.623 Å, c = 3.454 Å, α = 90.00°, β = 90.00° and γ = 90.00°. The inequivalent atoms are Sm at (0.000, 0.238, 0.000), Sm at (0.240, 0.500, 0.500), Dy at (0.000, 0.500, 0.000) and Tm at (0.000, 0.000, 0.500).


Model B:
A plane-wave DFT calculation with PBE was carried out for a relaxed Sm4DyTm crystal.

Its density of states at the Fermi level is 8.5 states/eV/cell. For the magnetization, the calculation gives 0.00 μB per atom.

It has space group P-1 (No. 2), with a = 3.588 Å, b = 6.212 Å, c = 9.494 Å, α = 77.32°, β = 79.21° and γ = 73.45°. The inequivalent atoms are Sm at (0.166, 0.000, 0.168), Sm at (0.166, 0.502, 0.666), Dy at (0.500, 0.500, 0.000) and Tm at (0.500, 0.000, 0.500).


Bottom line: model B, by a margin of 60.8 kJ/mol of atoms.


Model A:
A plane-wave DFT calculation with PBE was carried out for a relaxed SmDy3Tm7 crystal.

Its density of states at the Fermi level is 17.3 states/eV/cell. For the magnetization, the calculation gives 0.00 μB per atom.

It has space group P3m1 (No. 156), with a = 6.9713 Å, b = 6.9713 Å, c = 8.5272 Å, α = 90.00°, β = 90.00° and γ = 120.00°. The inequivalent atoms are Sm at (0.0000, 0.0000, 0.0000), Dy at (0.1670, 0.3341, 0.6631), Tm at (0.0022, 0.5011, 0.0007), Tm at (0.3316, 0.1658, 0.3292) and Tm at (0.3333, 0.6667, 0.3285).


Model B:
A plane-wave DFT calculation with PBE was carried out for a relaxed SmDy3Tm7 crystal.

Its density of states at the Fermi level is 18.5 states/eV/cell. For the magnetization, the calculation gives 0.00 μB per atom.

It has space group P2/m (No. 10), with a = 6.864 Å, b = 5.459 Å, c = 9.828 Å, α = 90.00°, β = 109.37° and γ = 90.00°. The inequivalent atoms are Sm at (0.000, 0.000, 0.000), Dy at (0.277, 0.500, 0.495), Dy at (0.500, 0.000, 0.000), Tm at (0.000, 0.000, 0.500), Tm at (0.151, 0.500, 0.790), Tm at (0.321, 0.500, 0.142) and Tm at (0.427, 0.000, 0.332).


Bottom line: model B, by a margin of 3.5 kJ/mol of atoms.